# 1
Computed, not measured: crystalline Bi2SbPd4Pb at its relaxed geometry at the PBE level of DFT.

Values from the calculation:
For the formation energy (no corrections), the calculation gives -0.16 eV per atom. The space group is Imma (74). The value obtained for the volume is 22.86 Å³/atom. The calculation puts the total DFT energy (no corrections) at -4.7074 eV/atom.

CIF file:
```
data_Bi2SbPd4Pb
_cell_length_a 8.0486
_cell_length_b 8.0486
_cell_length_c 8.0486
_cell_angle_alpha 124.15
_cell_angle_beta 116.07
_cell_angle_gamma 89.95
_space_group_name_H-M_alt 'P 1'
_space_group_IT_number 1
_space_group_name_Hall 'P 1'
loop_
_atom_site_label
_atom_site_fract_x
_atom_site_fract_y
_atom_site_fract_z
Bi1 0.0000 0.0000 0.0000
Bi2 0.5000 0.0000 0.0000
Bi3 0.5000 0.0000 0.5000
Bi4 0.5000 0.5000 0.5000
Sb1 0.0000 0.0000 0.5000
Sb2 0.0000 0.5000 0.0000
Pd1 0.2303 0.7494 0.4809
Pd2 0.2315 0.2506 0.9809
Pd3 0.2384 0.2419 0.5035
Pd4 0.2384 0.7350 0.9965
Pd5 0.7616 0.2650 0.0035
Pd6 0.7616 0.7581 0.4965
Pd7 0.7685 0.7494 0.0191
Pd8 0.7697 0.2506 0.5191
Pb1 0.0000 0.5000 0.5000
Pb2 0.5000 0.5000 0.0000
```

---

# 2
Computed, not measured: crystalline SmBi2Pd7Pb2 at its relaxed geometry at the PBE level of DFT.

Values from the calculation:
The value obtained for the formation energy is -4.5 eV per formula unit. The space group is C2/m (12). The value obtained for the volume is 22.24 Å³/atom. The calculation puts the total DFT energy (no corrections) at -5.0603 eV/atom.

CIF file:
```
data_SmBi2Pd7Pb2
_cell_length_a 4.0956
_cell_length_b 4.0956
_cell_length_c 15.9887
_cell_angle_alpha 93.94
_cell_angle_beta 93.94
_cell_angle_gamma 89.81
_space_group_name_H-M_alt 'P 1'
_space_group_IT_number 1
_space_group_name_Hall 'P 1'
loop_
_atom_site_label
_atom_site_fract_x
_atom_site_fract_y
_atom_site_fract_z
Sm1 0.0000 0.0000 0.0000
Bi1 0.4321 0.4321 0.7492
Bi2 0.5679 0.5679 0.2508
Pd1 0.0372 0.5372 0.1348
Pd2 0.3718 0.3718 0.5706
Pd3 0.4628 0.9628 0.8652
Pd4 0.5000 0.5000 0.0000
Pd5 0.5372 0.0372 0.1348
Pd6 0.6282 0.6282 0.4294
Pd7 0.9628 0.4628 0.8652
Pb1 0.1254 0.1254 0.4049
Pb2 0.8746 0.8746 0.5951
```

---

# 3
Computed, not measured: crystalline SnBi2Pd7Pb2 at its relaxed geometry at the PBE level of DFT.

Values from the calculation:
The value obtained for the formation energy is -3.2 eV per formula unit. The space group is C2/m (12). The value obtained for the volume is 21.22 Å³/atom. The calculation puts the total DFT energy (no corrections) at -4.8930 eV/atom.

CIF file:
```
data_SnBi2Pd7Pb2
_cell_length_a 4.0391
_cell_length_b 4.0391
_cell_length_c 15.7078
_cell_angle_alpha 94.62
_cell_angle_beta 94.62
_cell_angle_gamma 89.41
_space_group_name_H-M_alt 'P 1'
_space_group_IT_number 1
_space_group_name_Hall 'P 1'
loop_
_atom_site_label
_atom_site_fract_x
_atom_site_fract_y
_atom_site_fract_z
Sn1 0.0000 0.0000 0.0000
Bi1 0.1332 0.1332 0.3968
Bi2 0.8668 0.8668 0.6032
Pd1 0.0404 0.5403 0.1282
Pd2 0.3408 0.3408 0.5641
Pd3 0.4597 0.9596 0.8718
Pd4 0.5000 0.5000 0.0000
Pd5 0.5403 0.0404 0.1282
Pd6 0.6592 0.6592 0.4359
Pd7 0.9596 0.4597 0.8718
Pb1 0.4210 0.4210 0.7475
Pb2 0.5790 0.5790 0.2525
```

---

# 4
Computed, not measured: crystalline Sr3Bi2Pd9Pb at its relaxed geometry at the PBE level of DFT.

Values from the calculation:
The value obtained for the formation energy is -4.6 eV per formula unit. The space group is P-3m1 (164). The value obtained for the volume is 27.32 Å³/atom. The calculation puts the total DFT energy (no corrections) at -4.5254 eV/atom.

CIF file:
```
data_Sr3Bi2Pd9Pb
_cell_length_a 6.9217
_cell_length_b 6.9217
_cell_length_c 9.8768
_cell_angle_alpha 90.00
_cell_angle_beta 90.00
_cell_angle_gamma 120.00
_space_group_name_H-M_alt 'P 1'
_space_group_IT_number 1
_space_group_name_Hall 'P 1'
loop_
_atom_site_label
_atom_site_fract_x
_atom_site_fract_y
_atom_site_fract_z
Sr1 0.0000 0.0000 0.0000
Sr2 0.3333 0.6667 0.7386
Sr3 0.6667 0.3333 0.2614
Bi1 0.3333 0.6667 0.1861
Bi2 0.6667 0.3333 0.8139
Pd1 0.0000 0.5000 0.0000
Pd2 0.1304 0.2608 0.2758
Pd3 0.1304 0.8696 0.2758
Pd4 0.2608 0.1304 0.7242
Pd5 0.5000 0.0000 0.0000
Pd6 0.5000 0.5000 0.0000
Pd7 0.7392 0.8696 0.2758
Pd8 0.8696 0.1304 0.7242
Pd9 0.8696 0.7392 0.7242
Pb1 0.0000 0.0000 0.5000
```

---

# 5
Computed, not measured: crystalline SrBiPdPb2 at its relaxed geometry at the PBE level of DFT.

Values from the calculation:
The value obtained for the formation energy is -1.3 eV per formula unit. The space group is P4/mmm (123). The value obtained for the volume is 32.68 Å³/atom. The calculation puts the total DFT energy (no corrections) at -3.9006 eV/atom.

CIF file:
```
data_SrBiPdPb2
_cell_length_a 5.3634
_cell_length_b 5.3634
_cell_length_c 5.6800
_cell_angle_alpha 90.00
_cell_angle_beta 90.00
_cell_angle_gamma 90.00
_space_group_name_H-M_alt 'P 1'
_space_group_IT_number 1
_space_group_name_Hall 'P 1'
loop_
_atom_site_label
_atom_site_fract_x
_atom_site_fract_y
_atom_site_fract_z
Sr1 0.0000 0.0000 0.0000
Bi1 0.5000 0.5000 0.0000
Pd1 0.0000 0.0000 0.5000
Pb1 0.0000 0.5000 0.5000
Pb2 0.5000 0.0000 0.5000
```

---

# 6
Computed, not measured: crystalline Sr3Bi4Pd2Pb2 at its relaxed geometry at the PBE level of DFT.

Values from the calculation:
The value obtained for the formation energy is -5.9 eV per formula unit. The space group is P-3m1 (164). The value obtained for the volume is 33.65 Å³/atom. The calculation puts the total DFT energy (no corrections) at -4.0210 eV/atom.

CIF file:
```
data_Sr3Bi4Pd2Pb2
_cell_length_a 4.7351
_cell_length_b 4.7351
_cell_length_c 19.0621
_cell_angle_alpha 90.00
_cell_angle_beta 90.00
_cell_angle_gamma 120.00
_space_group_name_H-M_alt 'P 1'
_space_group_IT_number 1
_space_group_name_Hall 'P 1'
loop_
_atom_site_label
_atom_site_fract_x
_atom_site_fract_y
_atom_site_fract_z
Sr1 0.0000 0.0000 0.0000
Sr2 0.0000 0.0000 0.2354
Sr3 0.0000 0.0000 0.7646
Bi1 0.3333 0.6667 0.3468
Bi2 0.3333 0.6667 0.8791
Bi3 0.6667 0.3333 0.1209
Bi4 0.6667 0.3333 0.6532
Pd1 0.3333 0.6667 0.1215
Pd2 0.6667 0.3333 0.8785
Pb1 0.3333 0.6667 0.5714
Pb2 0.6667 0.3333 0.4286
```

---

# 7
Computed, not measured: crystalline SrBiPd2Pb2 at its relaxed geometry at the PBE level of DFT.

Values from the calculation:
The value obtained for the formation energy is -1.1 eV per formula unit. The space group is P4/mmm (123). The value obtained for the volume is 30.06 Å³/atom. The calculation puts the total DFT energy (no corrections) at -4.0755 eV/atom.

CIF file:
```
data_SrBiPd2Pb2
_cell_length_a 5.2398
_cell_length_b 5.2398
_cell_length_c 6.5685
_cell_angle_alpha 90.00
_cell_angle_beta 90.00
_cell_angle_gamma 90.00
_space_group_name_H-M_alt 'P 1'
_space_group_IT_number 1
_space_group_name_Hall 'P 1'
loop_
_atom_site_label
_atom_site_fract_x
_atom_site_fract_y
_atom_site_fract_z
Sr1 0.0000 0.0000 0.0000
Bi1 0.0000 0.0000 0.5000
Pd1 0.0000 0.5000 0.5000
Pd2 0.5000 0.0000 0.5000
Pb1 0.5000 0.5000 0.2495
Pb2 0.5000 0.5000 0.7505
```

---

# 8
Computed, not measured: crystalline Sr2BiPd6Pb at its relaxed geometry at the PBE level of DFT.

Values from the calculation:
The value obtained for the formation energy is -0.8 eV per formula unit. The space group is Fm-3m (225). The value obtained for the volume is 27.25 Å³/atom. The calculation puts the total DFT energy (no corrections) at -4.2940 eV/atom.

CIF file:
```
data_Sr2BiPd6Pb
_cell_length_a 7.2768
_cell_length_b 7.2768
_cell_length_c 7.2768
_cell_angle_alpha 60.00
_cell_angle_beta 60.00
_cell_angle_gamma 60.00
_space_group_name_H-M_alt 'P 1'
_space_group_IT_number 1
_space_group_name_Hall 'P 1'
loop_
_atom_site_label
_atom_site_fract_x
_atom_site_fract_y
_atom_site_fract_z
Sr1 0.2500 0.2500 0.2500
Sr2 0.7500 0.7500 0.7500
Bi1 0.0000 0.0000 0.0000
Pd1 0.2494 0.2494 0.7506
Pd2 0.2494 0.7506 0.2494
Pd3 0.2494 0.7506 0.7506
Pd4 0.7506 0.2494 0.2494
Pd5 0.7506 0.2494 0.7506
Pd6 0.7506 0.7506 0.2494
Pb1 0.5000 0.5000 0.5000
```

---

# 9
Computed, not measured: crystalline TlBiPdPb at its relaxed geometry at the PBE level of DFT.

Values from the calculation:
The energy above the most stable polymorph in this dataset comes out at 12.1 kJ/mol of atoms. The value obtained for the formation energy is 0.1 eV per formula unit. The space group is F-43m (216). The value obtained for the volume is 25.77 Å³/atom. The calculation puts the total DFT energy (no corrections) at -3.7616 eV/atom.

CIF file:
```
data_TlBiPdPb
_cell_length_a 7.4425
_cell_length_b 7.4425
_cell_length_c 7.4425
_cell_angle_alpha 90.00
_cell_angle_beta 90.00
_cell_angle_gamma 90.00
_space_group_name_H-M_alt 'P 1'
_space_group_IT_number 1
_space_group_name_Hall 'P 1'
loop_
_atom_site_label
_atom_site_fract_x
_atom_site_fract_y
_atom_site_fract_z
Tl1 0.0000 0.0000 0.0000
Tl2 0.0000 0.5000 0.5000
Tl3 0.5000 0.0000 0.5000
Tl4 0.5000 0.5000 0.0000
Bi1 0.2500 0.2500 0.7500
Bi2 0.2500 0.7500 0.2500
Bi3 0.7500 0.2500 0.2500
Bi4 0.7500 0.7500 0.7500
Pd1 0.0000 0.0000 0.5000
Pd2 0.0000 0.5000 0.0000
Pd3 0.5000 0.0000 0.0000
Pd4 0.5000 0.5000 0.5000
Pb1 0.2500 0.2500 0.2500
Pb2 0.2500 0.7500 0.7500
Pb3 0.7500 0.2500 0.7500
Pb4 0.7500 0.7500 0.2500
```

---

# 10
Computed, not measured: crystalline TlBiPdPb at its relaxed geometry at the PBE level of DFT.

Values from the calculation:
The energy above the most stable polymorph in this dataset comes out at 0.0 kJ/mol of atoms. The value obtained for the formation energy is -0.4 eV per formula unit. The space group is R3m (160). The value obtained for the volume is 29.14 Å³/atom. The calculation puts the total DFT energy (no corrections) at -3.8869 eV/atom.

CIF file:
```
data_TlBiPdPb
_cell_length_a 4.6654
_cell_length_b 4.6654
_cell_length_c 18.5531
_cell_angle_alpha 90.00
_cell_angle_beta 90.00
_cell_angle_gamma 120.00
_space_group_name_H-M_alt 'P 1'
_space_group_IT_number 1
_space_group_name_Hall 'P 1'
loop_
_atom_site_label
_atom_site_fract_x
_atom_site_fract_y
_atom_site_fract_z
Tl1 0.0000 0.0000 0.0000
Tl2 0.3333 0.6667 0.6667
Tl3 0.6667 0.3333 0.3333
Bi1 0.0000 0.0000 0.5580
Bi2 0.3333 0.6667 0.2246
Bi3 0.6667 0.3333 0.8913
Pd1 0.0000 0.0000 0.1720
Pd2 0.3333 0.6667 0.8386
Pd3 0.6667 0.3333 0.5053
Pb1 0.0000 0.0000 0.7778
Pb2 0.3333 0.6667 0.4444
Pb3 0.6667 0.3333 0.1111
```

---

# 11
Computed, not measured: crystalline TlBiPdPb2 at its relaxed geometry at the PBE level of DFT.

Values from the calculation:
The value obtained for the formation energy is 0.1 eV per formula unit. The space group is P4/mmm (123). The value obtained for the volume is 31.25 Å³/atom. The calculation puts the total DFT energy (no corrections) at -3.7415 eV/atom.

CIF file:
```
data_TlBiPdPb2
_cell_length_a 5.4440
_cell_length_b 5.4440
_cell_length_c 5.2724
_cell_angle_alpha 90.00
_cell_angle_beta 90.00
_cell_angle_gamma 90.00
_space_group_name_H-M_alt 'P 1'
_space_group_IT_number 1
_space_group_name_Hall 'P 1'
loop_
_atom_site_label
_atom_site_fract_x
_atom_site_fract_y
_atom_site_fract_z
Tl1 0.0000 0.0000 0.0000
Bi1 0.5000 0.5000 0.0000
Pd1 0.0000 0.0000 0.5000
Pb1 0.0000 0.5000 0.5000
Pb2 0.5000 0.0000 0.5000
```